Version i
# Sm2AgI (PBE, optimized geometry)
data_Sm2AgI
_chemical_formula_sum 'Sm2 Ag1 I1'
_symmetry_space_group_name_H-M 'P 4/m m m'
_symmetry_Int_Tables_number 123
_symmetry_space_group_name_Hall '-P 4 2'
_cell_length_a 3.6552
_cell_length_b 3.6552
_cell_length_c 8.3916
_cell_angle_alpha 90.00
_cell_angle_beta 90.00
_cell_angle_gamma 90.00
loop_
_atom_site_label
_atom_site_fract_x
_atom_site_fract_y
_atom_site_fract_z
Sm1 0.0000 0.0000 0.2281
Ag1 0.5000 0.5000 0.0000
I1 0.5000 0.5000 0.5000
# * M_tot: 0.1 μB per formula unit
# * volume: 112 Å³ per cell


Version ii
# Sm2AgI (PBE, optimized geometry)
data_Sm2AgI
_chemical_formula_sum 'Sm6 Ag3 I3'
_symmetry_space_group_name_H-M 'R 3 m'
_symmetry_Int_Tables_number 160
_symmetry_space_group_name_Hall 'R 3 -2"'
_cell_length_a 4.1907
_cell_length_b 4.1907
_cell_length_c 24.4022
_cell_angle_alpha 90.00
_cell_angle_beta 90.00
_cell_angle_gamma 120.00
loop_
_atom_site_label
_atom_site_fract_x
_atom_site_fract_y
_atom_site_fract_z
Sm1 0.0000 0.0000 0.0000
Sm2 0.0000 0.0000 0.1903
Ag1 0.0000 0.0000 0.5944
I1 0.0000 0.0000 0.7624
# * M_tot: 0.0 μB per formula unit
# * volume: 371 Å³ per cell


Version iii
# Sm2AgI (PBE, optimized geometry)
data_Sm2AgI
_chemical_formula_sum 'Sm6 Ag3 I3'
_symmetry_space_group_name_H-M 'R -3 m'
_symmetry_Int_Tables_number 166
_symmetry_space_group_name_Hall '-R 3 2"'
_cell_length_a 4.3167
_cell_length_b 4.3167
_cell_length_c 22.9941
_cell_angle_alpha 90.00
_cell_angle_beta 90.00
_cell_angle_gamma 120.00
loop_
_atom_site_label
_atom_site_fract_x
_atom_site_fract_y
_atom_site_fract_z
Sm1 0.0000 0.0000 0.2387
Ag1 0.0000 0.0000 0.5000
I1 0.0000 0.0000 0.0000
# * M_tot: 0.0 μB per formula unit
# * volume: 371 Å³ per cell


It is version iii that is most stable; the runner-up trails by 8 meV/atom.


Version i
# Ag2SnI (PBE, optimized geometry)
data_Ag2SnI
_chemical_formula_sum 'Ag8 Sn4 I4'
_symmetry_space_group_name_H-M 'I -4 2 d'
_symmetry_Int_Tables_number 122
_symmetry_space_group_name_Hall 'I -4 2bw'
_cell_length_a 7.3276
_cell_length_b 7.3276
_cell_length_c 9.1944
_cell_angle_alpha 90.00
_cell_angle_beta 90.00
_cell_angle_gamma 90.00
loop_
_atom_site_label
_atom_site_fract_x
_atom_site_fract_y
_atom_site_fract_z
Ag1 0.2339 0.2500 0.1250
Sn1 0.0000 0.0000 0.0000
I1 0.0000 0.0000 0.5000
# * M_tot: 0.0 μB per formula unit
# * volume: 494 Å³ per cell


Version ii
# Ag2SnI (PBE, optimized geometry)
data_Ag2SnI
_chemical_formula_sum 'Ag8 Sn4 I4'
_symmetry_space_group_name_H-M 'F m -3 m'
_symmetry_Int_Tables_number 225
_symmetry_space_group_name_Hall '-F 4 2 3'
_cell_length_a 7.3747
_cell_length_b 7.3747
_cell_length_c 7.3747
_cell_angle_alpha 90.00
_cell_angle_beta 90.00
_cell_angle_gamma 90.00
loop_
_atom_site_label
_atom_site_fract_x
_atom_site_fract_y
_atom_site_fract_z
Ag1 0.2500 0.2500 0.2500
Sn1 0.0000 0.0000 0.0000
I1 0.0000 0.0000 0.5000
# * M_tot: 0.0 μB per formula unit
# * volume: 401 Å³ per cell


Version iii
# Ag2SnI (PBE, optimized geometry)
data_Ag2SnI
_chemical_formula_sum 'Ag6 Sn3 I3'
_symmetry_space_group_name_H-M 'R -3 m'
_symmetry_Int_Tables_number 166
_symmetry_space_group_name_Hall '-R 3 2"'
_cell_length_a 3.6818
_cell_length_b 3.6818
_cell_length_c 28.3591
_cell_angle_alpha 90.00
_cell_angle_beta 90.00
_cell_angle_gamma 120.00
loop_
_atom_site_label
_atom_site_fract_x
_atom_site_fract_y
_atom_site_fract_z
Ag1 0.0000 0.0000 0.0982
Sn1 0.0000 0.0000 0.5000
I1 0.0000 0.0000 0.0000
# * M_tot: 0.0 μB per formula unit
# * volume: 333 Å³ per cell


It is version iii that is most stable; the runner-up trails by 9 meV/atom.


Version i
# Ag2SnI4 (PBE, optimized geometry)
data_Ag2SnI4
_chemical_formula_sum 'Ag2 Sn1 I4'
_symmetry_space_group_name_H-M 'P -4 2 m'
_symmetry_Int_Tables_number 111
_symmetry_space_group_name_Hall 'P -4 2'
_cell_length_a 6.6510
_cell_length_b 6.6510
_cell_length_c 6.8253
_cell_angle_alpha 90.00
_cell_angle_beta 90.00
_cell_angle_gamma 90.00
loop_
_atom_site_label
_atom_site_fract_x
_atom_site_fract_y
_atom_site_fract_z
Ag1 0.0000 0.5000 0.0000
Sn1 0.0000 0.0000 0.5000
I1 0.2699 0.2699 0.7596
# * M_tot: 0.0 μB per formula unit
# * volume: 302 Å³ per cell


Version ii
# Ag2SnI4 (PBE, optimized geometry)
data_Ag2SnI4
_chemical_formula_sum 'Ag4 Sn2 I8'
_symmetry_space_group_name_H-M 'C 1 2/m 1'
_symmetry_Int_Tables_number 12
_symmetry_space_group_name_Hall '-C 2y'
_cell_length_a 15.0869
_cell_length_b 4.7207
_cell_length_c 8.0042
_cell_angle_alpha 90.00
_cell_angle_beta 103.04
_cell_angle_gamma 90.00
loop_
_atom_site_label
_atom_site_fract_x
_atom_site_fract_y
_atom_site_fract_z
Ag1 0.1674 0.0000 0.0894
Sn1 0.0000 0.5000 0.5000
I1 0.1272 0.0000 0.4128
I2 0.1300 0.5000 0.8821
# * M_tot: 0.0 μB per formula unit
# * volume: 555 Å³ per cell


It is version ii that is most stable; the runner-up trails by 33 meV/atom.


Version i
# Ag2SnI2 (PBE, optimized geometry)
data_Ag2SnI2
_chemical_formula_sum 'Ag4 Sn2 I4'
_symmetry_space_group_name_H-M 'P 4/m b m'
_symmetry_Int_Tables_number 127
_symmetry_space_group_name_Hall '-P 4 2ab'
_cell_length_a 8.8379
_cell_length_b 8.8379
_cell_length_c 3.8497
_cell_angle_alpha 90.00
_cell_angle_beta 90.00
_cell_angle_gamma 90.00
loop_
_atom_site_label
_atom_site_fract_x
_atom_site_fract_y
_atom_site_fract_z
Ag1 0.1117 0.3883 0.0000
Sn1 0.0000 0.0000 0.5000
I1 0.1979 0.6979 0.5000
# * M_tot: 0.0 μB per formula unit
# * volume: 301 Å³ per cell


Version ii
# Ag2SnI2 (PBE, optimized geometry)
data_Ag2SnI2
_chemical_formula_sum 'Ag4 Sn2 I4'
_symmetry_space_group_name_H-M 'I 4/m m m'
_symmetry_Int_Tables_number 139
_symmetry_space_group_name_Hall '-I 4 2'
_cell_length_a 3.9132
_cell_length_b 3.9132
_cell_length_c 21.9685
_cell_angle_alpha 90.00
_cell_angle_beta 90.00
_cell_angle_gamma 90.00
loop_
_atom_site_label
_atom_site_fract_x
_atom_site_fract_y
_atom_site_fract_z
Ag1 0.0000 0.5000 0.2500
Sn1 0.0000 0.0000 0.0000
I1 0.0000 0.0000 0.4124
# * M_tot: 0.0 μB per formula unit
# * volume: 336 Å³ per cell


It is version ii that is most stable; the runner-up trails by 111 meV/atom.


Version i
# AgSnI3 (PBE, optimized geometry)
data_AgSnI3
_chemical_formula_sum 'Ag4 Sn4 I12'
_symmetry_space_group_name_H-M 'C m c 21'
_symmetry_Int_Tables_number 36
_symmetry_space_group_name_Hall 'C 2c -2'
_cell_length_a 4.4287
_cell_length_b 23.1412
_cell_length_c 7.8461
_cell_angle_alpha 90.00
_cell_angle_beta 90.00
_cell_angle_gamma 90.00
loop_
_atom_site_label
_atom_site_fract_x
_atom_site_fract_y
_atom_site_fract_z
Ag1 0.0000 0.1711 0.0000
Sn1 0.0000 0.3450 0.9205
I1 0.0000 0.0787 0.5647
I2 0.0000 0.2586 0.2779
I3 0.0000 0.4055 0.5748
# * M_tot: 0.0 μB per formula unit
# * volume: 804 Å³ per cell


Version ii
# AgSnI3 (PBE, optimized geometry)
data_AgSnI3
_chemical_formula_sum 'Ag2 Sn2 I6'
_symmetry_space_group_name_H-M 'P -1'
_symmetry_Int_Tables_number 2
_symmetry_space_group_name_Hall '-P 1'
_cell_length_a 4.6434
_cell_length_b 9.2205
_cell_length_c 10.1863
_cell_angle_alpha 99.72
_cell_angle_beta 103.14
_cell_angle_gamma 90.04
loop_
_atom_site_label
_atom_site_fract_x
_atom_site_fract_y
_atom_site_fract_z
Ag1 0.1154 0.3539 0.2300
Sn1 0.3614 0.1522 0.7252
I1 0.0288 0.7726 0.0562
I2 0.1893 0.1109 0.3779
I3 0.3430 0.4786 0.6870
# * M_tot: 0.0 μB per formula unit
# * volume: 418 Å³ per cell


Version iii
# AgSnI3 (PBE, optimized geometry)
data_AgSnI3
_chemical_formula_sum 'Ag1 Sn1 I3'
_symmetry_space_group_name_H-M 'P m -3 m'
_symmetry_Int_Tables_number 221
_symmetry_space_group_name_Hall '-P 4 2 3'
_cell_length_a 5.6973
_cell_length_b 5.6973
_cell_length_c 5.6973
_cell_angle_alpha 90.00
_cell_angle_beta 90.00
_cell_angle_gamma 90.00
loop_
_atom_site_label
_atom_site_fract_x
_atom_site_fract_y
_atom_site_fract_z
Ag1 0.0000 0.0000 0.0000
Sn1 0.5000 0.5000 0.5000
I1 0.0000 0.0000 0.5000
# * M_tot: 0.3 μB per formula unit
# * volume: 185 Å³ per cell


It is version i that is most stable; the runner-up trails by 18 meV/atom.